Material: Bi2PdNCl
Method: DFT, PBEsol
State: relaxed

Properties
- Space-group type: P4/mmm (123)
- Formation energy (no corrections): 0.53 eV per atom
- Fermi-level density of states: 2.1 states/eV/cell

Cell: 4.919 4.919 4.025 Å, 90.00 90.00 90.00°
Atoms (fractional coordinates):
1 Bi 0.000 0.500 0.000
2 Bi 0.500 0.000 0.000
3 Pd 0.000 0.000 0.500
4 N 0.500 0.500 0.000
5 Cl 0.500 0.500 0.500